Version one
Density functional theory data (PBE-GGA) for a geometry-optimized HfNbHg2I structure.

The density comes out at 8.70 g/cm3.

It has space group P4/mmm (No. 123), with a = 5.493 Å, b = 5.493 Å, c = 5.056 Å, α = 90.00°, β = 90.00° and γ = 90.00°. The distinct sites, in fractional coordinates, are Hf at (0.000, 0.000, 0.000), Nb at (0.500, 0.500, 0.000), Hg at (0.000, 0.500, 0.500) and I at (0.500, 0.500, 0.500).



Version two
Density functional theory data (PBE-GGA) for a geometry-optimized HfNbHg2I structure.

The density comes out at 8.36 g/cm3.

It has space group P4/mmm (No. 123), with a = 5.604 Å, b = 5.604 Å, c = 5.054 Å, α = 90.00°, β = 90.00° and γ = 90.00°. The distinct sites, in fractional coordinates, are Hf at (0.000, 0.000, 0.000), Nb at (0.000, 0.000, 0.500), Hg at (0.000, 0.500, 0.000) and I at (0.500, 0.500, 0.500).



Last place for stability: version one



Version one
Density functional theory data (PBE-GGA) for a geometry-optimized HfHgTe2I structure.

The density comes out at 7.31 g/cm3.

It has space group P4/mmm (No. 123), with a = 5.539 Å, b = 5.539 Å, c = 5.637 Å, α = 90.00°, β = 90.00° and γ = 90.00°. The distinct sites, in fractional coordinates, are Hf at (0.000, 0.000, 0.000), Hg at (0.500, 0.500, 0.500), Te at (0.000, 0.500, 0.500) and I at (0.500, 0.500, 0.000).



Version two
Density functional theory data (PBE-GGA) for a geometry-optimized HfHgTe2I structure.

The density comes out at 6.98 g/cm3.

It has space group P4/mmm (No. 123), with a = 5.575 Å, b = 5.575 Å, c = 5.824 Å, α = 90.00°, β = 90.00° and γ = 90.00°. The distinct sites, in fractional coordinates, are Hf at (0.000, 0.000, 0.000), Hg at (0.500, 0.500, 0.500), Te at (0.000, 0.500, 0.000) and I at (0.000, 0.000, 0.500).



Last place for stability: version one



Version one
Density functional theory data (PBE-GGA) for a geometry-optimized Hf2InHg2 structure.

The density comes out at 12.45 g/cm3.

It has space group P4/mbm (No. 127), with a = 8.020 Å, b = 8.020 Å, c = 3.620 Å, α = 90.00°, β = 90.00° and γ = 90.00°. The distinct sites, in fractional coordinates, are Hf at (0.155, 0.345, 0.000), In at (0.000, 0.000, 0.000) and Hg at (0.145, 0.645, 0.500).



Version two
Density functional theory data (PBE-GGA) for a geometry-optimized Hf2InHg2 structure.

The density comes out at 11.83 g/cm3.

It has space group Cmmm (No. 65), with a = 5.266 Å, b = 7.851 Å, c = 5.927 Å, α = 90.00°, β = 90.00° and γ = 90.00°. The distinct sites, in fractional coordinates, are Hf at (0.000, 0.000, 0.247), In at (0.000, 0.500, 0.000) and Hg at (0.000, 0.325, 0.500).



Last place for stability: version two